Entry 1:
A plane-wave DFT calculation with GGA-PBE was carried out for a relaxed ZrReW2 crystal.

a = 3.212 Å, b = 4.623 Å, c = 9.145 Å
α = 90.00°, β = 90.00°, γ = 90.00°
Space group Cmm2 (No. 35)
Inequivalent atoms, fractional coordinates:
Zr 0.000 0.000 0.000 (multiplicity 2)
Re 0.000 0.500 0.257 (multiplicity 2)
W 0.000 0.000 0.492 (multiplicity 2)
W 0.000 0.500 0.732 (multiplicity 2)

Summary:
Excess energy over the best structure of this formula in the dataset, meV per atom: 105
E_form, eV per formula unit: 0.20

---

Entry 2:
A plane-wave DFT calculation with GGA-PBE was carried out for a relaxed LaGa6Pt2 crystal.

a = 11.985 Å, b = 11.985 Å, c = 11.985 Å
α = 90.00°, β = 90.00°, γ = 90.00°
Space group Fd-3m (No. 227, origin choice 2)
Inequivalent atoms, fractional coordinates:
La 0.125 0.125 0.125 (multiplicity 8)
Ga 0.113 0.375 0.875 (multiplicity 48)
Pt 0.000 0.000 0.500 (multiplicity 16)

Summary:
E_form, eV per formula unit: -1.98

---

Entry 3:
A plane-wave DFT calculation with GGA-PBE was carried out for a relaxed Tl2CrCl crystal.

a = 3.480 Å, b = 3.355 Å, c = 9.261 Å
α = 90.00°, β = 100.66°, γ = 90.00°
Space group Pm (No. 6)
Inequivalent atoms, fractional coordinates:
Tl 0.000 0.000 0.000 (multiplicity 1)
Tl 0.362 0.500 0.719 (multiplicity 1)
Cr 0.600 0.500 0.203 (multiplicity 1)
Cl 0.690 0.000 0.384 (multiplicity 1)

Summary:
Excess energy over the best structure of this formula in the dataset, meV per atom: 15
ΔE_f (raw), kJ/mol of formula units: -25.0